The following is a DFT calculation (PBE) of a geometry-optimized MnFeN structure.

The structure in CIF format:
```
data_MnFeN
_symmetry_space_group_name_H-M 'F -4 3 m'
_symmetry_Int_Tables_number 216
_symmetry_space_group_name_Hall 'F -4 2 3'
_cell_length_a 4.851
_cell_length_b 4.851
_cell_length_c 4.851
_cell_angle_alpha 90.00
_cell_angle_beta 90.00
_cell_angle_gamma 90.00
loop_
_atom_site_label
_atom_site_type_symbol
_atom_site_fract_x
_atom_site_fract_y
_atom_site_fract_z
Mn1 Mn 0.000 0.000 0.000
Fe1 Fe 0.000 0.000 0.500
N1 N 0.250 0.250 0.250
```

- energy above the lowest structure with this stoichiometry (meV/atom) = 461
- DOS(E_F) (states/eV/cell) = 11.77
- DFT total energy (eV per formula unit) = -24.82
- crystal system = cubic
- calculated volume (A^3/atom) = 9.51
- energy relative to the elements, uncorrected (eV/atom) = 0.379

=====

The following is a DFT calculation (PBE) of a geometry-optimized In5Fe3 structure.

The structure in CIF format:
```
data_In5Fe3
_symmetry_space_group_name_H-M 'P 63/m c m'
_symmetry_Int_Tables_number 193
_symmetry_space_group_name_Hall '-P 6c 2'
_cell_length_a 7.7305
_cell_length_b 7.7305
_cell_length_c 5.7872
_cell_angle_alpha 90.00
_cell_angle_beta 90.00
_cell_angle_gamma 120.00
loop_
_atom_site_label
_atom_site_type_symbol
_atom_site_fract_x
_atom_site_fract_y
_atom_site_fract_z
In1 In 0.0000 0.2413 0.2500
In2 In 0.3333 0.6667 0.0000
Fe1 Fe 0.0000 0.4012 0.7500
```

- energy of formation (meV per atom) = 341
- DOS(E_F) (states/eV/cell) = 19.71
- DFT total energy (eV per formula unit) = -36.35
- crystal system = hexagonal
- calculated volume (A^3/atom) = 18.72

=====

The following is a DFT calculation (PBE) of a geometry-optimized CaIn structure.

The structure in CIF format:
```
data_CaIn
_symmetry_space_group_name_H-M 'P 63/m m c'
_symmetry_Int_Tables_number 194
_symmetry_space_group_name_Hall '-P 6c 2c'
_cell_length_a 5.6136
_cell_length_b 5.6136
_cell_length_c 6.3519
_cell_angle_alpha 90.00
_cell_angle_beta 90.00
_cell_angle_gamma 120.00
loop_
_atom_site_label
_atom_site_type_symbol
_atom_site_fract_x
_atom_site_fract_y
_atom_site_fract_z
Ca1 Ca 0.3333 0.6667 0.2500
In1 In 0.3333 0.6667 0.7500
```

- energy of formation (meV per atom) = 177
- DOS(E_F) (states/eV/cell) = 5.04
- DFT total energy (eV per formula unit) = -4.39
- crystal system = hexagonal
- calculated volume (A^3/atom) = 43.34

=====

The following is a DFT calculation (PBE) of a geometry-optimized CaTi2Cd structure.

The structure in CIF format:
```
data_CaTi2Cd
_symmetry_space_group_name_H-M 'I -4 2 d'
_symmetry_Int_Tables_number 122
_symmetry_space_group_name_Hall 'I -4 2bw'
_cell_length_a 4.266
_cell_length_b 4.266
_cell_length_c 21.680
_cell_angle_alpha 90.00
_cell_angle_beta 90.00
_cell_angle_gamma 90.00
loop_
_atom_site_label
_atom_site_type_symbol
_atom_site_fract_x
_atom_site_fract_y
_atom_site_fract_z
Ca1 Ca 0.000 0.000 0.000
Ti1 Ti 0.120 0.250 0.625
Cd1 Cd 0.000 0.000 0.500
```

- energy of formation (meV per atom) = 604
- DOS(E_F) (states/eV/cell) = 19.91
- DFT total energy (eV per formula unit) = -16.29
- crystal system = tetragonal
- calculated volume (A^3/atom) = 24.66

=====

The following is a DFT calculation (PBE) of a geometry-optimized Nd2Ni3SnGe4 structure.

The structure in CIF format:
```
data_Nd2Ni3SnGe4
_symmetry_space_group_name_H-M 'P -4 m 2'
_symmetry_Int_Tables_number 115
_cell_length_a 4.213
_cell_length_b 4.213
_cell_length_c 10.357
_cell_angle_alpha 90.00
_cell_angle_beta 90.00
_cell_angle_gamma 90.00
loop_
_symmetry_equiv_pos_as_xyz
'x,y,z'
'y,-x,-z'
'-x,-y,z'
'-y,x,-z'
'-x,y,z'
'-y,-x,-z'
'x,-y,z'
'y,x,-z'
loop_
_atom_site_label
_atom_site_type_symbol
_atom_site_fract_x
_atom_site_fract_y
_atom_site_fract_z
Nd1 Nd 0.000 0.500 0.232
Ni1 Ni 0.000 0.500 0.887
Ni2 Ni 0.500 0.500 0.500
Sn1 Sn 0.000 0.000 0.500
Ge1 Ge 0.000 0.000 0.000
Ge2 Ge 0.000 0.500 0.663
Ge3 Ge 0.500 0.500 0.000
```

- energy of formation (meV per atom) = -575
- DOS(E_F) (states/eV/cell) = 3.61
- DFT total energy (eV per formula unit) = -55.10
- crystal system = tetragonal
- calculated volume (A^3/atom) = 18.38

=====

The following is a DFT calculation (PBE) of a geometry-optimized CdInClO2 structure.

The structure in CIF format:
```
data_CdInClO2
_symmetry_space_group_name_H-M 'P 4/m m m'
_symmetry_Int_Tables_number 123
_symmetry_space_group_name_Hall '-P 4 2'
_cell_length_a 4.180
_cell_length_b 4.180
_cell_length_c 6.846
_cell_angle_alpha 90.00
_cell_angle_beta 90.00
_cell_angle_gamma 90.00
loop_
_atom_site_label
_atom_site_type_symbol
_atom_site_fract_x
_atom_site_fract_y
_atom_site_fract_z
Cd1 Cd 0.000 0.000 0.000
In1 In 0.000 0.000 0.500
Cl1 Cl 0.500 0.500 0.500
O1 O 0.000 0.500 0.000
```

- energy above the lowest structure with this stoichiometry (meV/atom) = 1079
- DOS(E_F) (states/eV/cell) = 3.67
- DFT total energy (eV per formula unit) = -15.93
- crystal system = tetragonal
- calculated volume (A^3/atom) = 23.92
- energy relative to the elements, uncorrected (eV/atom) = -0.103

=====

The following is a DFT calculation (PBE) of a geometry-optimized CdTeCl2 structure.

The structure in CIF format:
```
data_CdTeCl2
_symmetry_space_group_name_H-M 'R -3 m'
_symmetry_Int_Tables_number 166
_symmetry_space_group_name_Hall '-R 3 2"'
_cell_length_a 3.5937
_cell_length_b 3.5937
_cell_length_c 34.4040
_cell_angle_alpha 90.00
_cell_angle_beta 90.00
_cell_angle_gamma 120.00
loop_
_atom_site_label
_atom_site_type_symbol
_atom_site_fract_x
_atom_site_fract_y
_atom_site_fract_z
Cd1 Cd 0.0000 0.0000 0.0000
Te1 Te 0.0000 0.0000 0.5000
Cl1 Cl 0.0000 0.0000 0.2866
```

- energy above the lowest structure with this stoichiometry (meV/atom) = 0
- DOS(E_F) (states/eV/cell) = 2.41
- DFT total energy (eV per formula unit) = -9.91
- crystal system = trigonal
- calculated volume (A^3/atom) = 32.07
- energy relative to the elements, uncorrected (eV/atom) = -0.540

=====

The following is a DFT calculation (PBE) of a geometry-optimized MnZnAu3 structure.

The structure in CIF format:
```
data_MnZnAu3
_symmetry_space_group_name_H-M 'P m -3 m'
_symmetry_Int_Tables_number 221
_symmetry_space_group_name_Hall '-P 4 2 3'
_cell_length_a 4.800
_cell_length_b 4.800
_cell_length_c 4.800
_cell_angle_alpha 90.00
_cell_angle_beta 90.00
_cell_angle_gamma 90.00
loop_
_atom_site_label
_atom_site_type_symbol
_atom_site_fract_x
_atom_site_fract_y
_atom_site_fract_z
Mn1 Mn 0.000 0.000 0.000
Zn1 Zn 0.500 0.500 0.500
Au1 Au 0.000 0.500 0.500
```

- energy above the lowest structure with this stoichiometry (meV/atom) = 678
- energy of formation (meV per atom) = 548
- DOS(E_F) (states/eV/cell) = 2.28
- DFT total energy (eV per formula unit) = -17.53
- crystal system = cubic
- calculated volume (A^3/atom) = 22.12

=====

The following is a DFT calculation (PBE) of a geometry-optimized Sm5GaCo2 structure.

The structure in CIF format:
```
data_Sm5GaCo2
_symmetry_space_group_name_H-M 'I 4/m c m'
_symmetry_Int_Tables_number 140
_symmetry_space_group_name_Hall '-I 4 2c'
_cell_length_a 7.650
_cell_length_b 7.650
_cell_length_c 13.491
_cell_angle_alpha 90.00
_cell_angle_beta 90.00
_cell_angle_gamma 90.00
loop_
_atom_site_label
_atom_site_type_symbol
_atom_site_fract_x
_atom_site_fract_y
_atom_site_fract_z
Sm1 Sm 0.000 0.000 0.000
Sm2 Sm 0.169 0.331 0.138
Ga1 Ga 0.000 0.000 0.250
Co1 Co 0.115 0.385 0.500
```

- energy of formation (meV per atom) = -216
- DOS(E_F) (states/eV/cell) = 38.45
- DFT total energy (eV per formula unit) = -42.57
- crystal system = tetragonal
- calculated volume (A^3/atom) = 24.67

=====

The following is a DFT calculation (PBE) of a geometry-optimized CeNd2ErSe4 structure.

The structure in CIF format:
```
data_CeNd2ErSe4
_symmetry_space_group_name_H-M 'P 1 2/m 1'
_symmetry_Int_Tables_number 10
_cell_length_a 7.243
_cell_length_b 4.140
_cell_length_c 7.263
_cell_angle_alpha 90.00
_cell_angle_beta 108.99
_cell_angle_gamma 90.00
loop_
_symmetry_equiv_pos_as_xyz
'x,y,z'
'-x,-y,-z'
'-x,y,-z'
'x,-y,z'
loop_
_atom_site_label
_atom_site_type_symbol
_atom_site_fract_x
_atom_site_fract_y
_atom_site_fract_z
Ce1 Ce 0.000 0.000 0.000
Nd1 Nd 0.500 0.000 0.500
Nd2 Nd 0.500 0.500 0.000
Er1 Er 0.000 0.500 0.500
Se1 Se 0.237 0.000 0.739
Se2 Se 0.242 0.500 0.254
```

- DOS(E_F) (states/eV/cell) = 8.54
- DFT total energy (eV per formula unit) = -48.38
- crystal system = monoclinic
- calculated volume (A^3/atom) = 25.74
- energy relative to the elements, uncorrected (eV/atom) = -1.802

=====

The following is a DFT calculation (PBE) of a geometry-optimized Al2RePtPb structure.

The structure in CIF format:
```
data_Al2RePtPb
_symmetry_space_group_name_H-M 'P 4/m m m'
_symmetry_Int_Tables_number 123
_symmetry_space_group_name_Hall '-P 4 2'
_cell_length_a 5.038
_cell_length_b 5.038
_cell_length_c 5.165
_cell_angle_alpha 90.00
_cell_angle_beta 90.00
_cell_angle_gamma 90.00
loop_
_atom_site_label
_atom_site_type_symbol
_atom_site_fract_x
_atom_site_fract_y
_atom_site_fract_z
Al1 Al 0.000 0.500 0.000
Re1 Re 0.000 0.000 0.500
Pt1 Pt 0.500 0.500 0.500
Pb1 Pb 0.000 0.000 0.000
```

- energy of formation (meV per atom) = 2057
- DOS(E_F) (states/eV/cell) = 4.40
- DFT total energy (eV per formula unit) = -19.40
- crystal system = tetragonal
- calculated volume (A^3/atom) = 26.22

=====

The following is a DFT calculation (PBE) of a geometry-optimized Re2TcPdS structure.

The structure in CIF format:
```
data_Re2TcPdS
_symmetry_space_group_name_H-M 'P 4/m m m'
_symmetry_Int_Tables_number 123
_symmetry_space_group_name_Hall '-P 4 2'
_cell_length_a 4.334
_cell_length_b 4.334
_cell_length_c 4.309
_cell_angle_alpha 90.00
_cell_angle_beta 90.00
_cell_angle_gamma 90.00
loop_
_atom_site_label
_atom_site_type_symbol
_atom_site_fract_x
_atom_site_fract_y
_atom_site_fract_z
Re1 Re 0.000 0.500 0.000
Tc1 Tc 0.000 0.000 0.500
Pd1 Pd 0.500 0.500 0.500
S1 S 0.000 0.000 0.000
```

- DOS(E_F) (states/eV/cell) = 3.44
- DFT total energy (eV per formula unit) = -40.66
- crystal system = tetragonal
- calculated volume (A^3/atom) = 16.19
- energy relative to the elements, uncorrected (eV/atom) = 0.785